# 1
# PBE SmTaNO, optimized geometry
# E above lowest polymorph, meV/atom: 110
# Energy, eV for the cell shown: -73.4
data_SmTaNO
_chemical_formula_sum 'Sm2 Ta2 N2 O2'
_space_group_name_H-M_alt 'P m c 21'
_space_group_IT_number 26
_cell_length_a 4.0729
_cell_length_b 5.4054
_cell_length_c 5.1840
_cell_angle_alpha 90.00
_cell_angle_beta 90.00
_cell_angle_gamma 90.00
loop_
_space_group_symop_operation_xyz
'x,y,z'
'-x,-y,z+1/2'
'-x,y,z'
'x,-y,z+1/2'
loop_
_atom_site_label
_atom_site_type_symbol
_atom_site_fract_x
_atom_site_fract_y
_atom_site_fract_z
Sm1 Sm 0.0000 0.2316 0.0000
Ta1 Ta 0.5000 0.2965 0.5009
N1 N 0.0000 0.3080 0.5008
O1 O 0.5000 0.0027 0.7547


# 2
# PBE SmTaNO, optimized geometry
# E above lowest polymorph, meV/atom: 159
# Energy, eV for the cell shown: -145.9
data_SmTaNO
_chemical_formula_sum 'Sm4 Ta4 N4 O4'
_space_group_name_H-M_alt 'P b c m'
_space_group_IT_number 57
_cell_length_a 7.7307
_cell_length_b 6.5838
_cell_length_c 4.6323
_cell_angle_alpha 90.00
_cell_angle_beta 90.00
_cell_angle_gamma 90.00
loop_
_space_group_symop_operation_xyz
'x,y,z'
'-x,-y,-z'
'-x,-y,z+1/2'
'x,y,-z+1/2'
'x,-y+1/2,-z'
'-x,y+1/2,z'
'-x,y+1/2,-z+1/2'
'x,-y+1/2,z+1/2'
loop_
_atom_site_label
_atom_site_type_symbol
_atom_site_fract_x
_atom_site_fract_y
_atom_site_fract_z
Sm1 Sm 0.1301 0.0441 0.2500
Ta1 Ta 0.3706 0.6079 0.2500
N1 N 0.4192 0.5842 0.7500
O1 O 0.1628 0.0971 0.7500


# 3
# PBE SmTaNO, optimized geometry
# E above lowest polymorph, meV/atom: 312
# Energy, eV for the cell shown: -143.5
data_SmTaNO
_chemical_formula_sum 'Sm4 Ta4 N4 O4'
_space_group_name_H-M_alt 'P c a 21'
_space_group_IT_number 29
_cell_length_a 6.3238
_cell_length_b 7.6482
_cell_length_c 5.1796
_cell_angle_alpha 90.00
_cell_angle_beta 90.00
_cell_angle_gamma 90.00
loop_
_space_group_symop_operation_xyz
'x,y,z'
'-x,-y,z+1/2'
'-x+1/2,y,z+1/2'
'x+1/2,-y,z'
loop_
_atom_site_label
_atom_site_type_symbol
_atom_site_fract_x
_atom_site_fract_y
_atom_site_fract_z
Sm1 Sm 0.0600 0.1416 0.0000
Ta1 Ta 0.1258 0.6560 0.0026
N1 N 0.0673 0.1501 0.5021
O1 O 0.0734 0.5457 0.6301


# 4
# PBE SmTaNO, optimized geometry
# E above lowest polymorph, meV/atom: 303
# Energy, eV for the cell shown: -71.8
data_SmTaNO
_chemical_formula_sum 'Sm2 Ta2 N2 O2'
_space_group_name_H-M_alt 'P m c 21'
_space_group_IT_number 26
_cell_length_a 3.8941
_cell_length_b 6.1074
_cell_length_c 5.2988
_cell_angle_alpha 90.00
_cell_angle_beta 90.00
_cell_angle_gamma 90.00
loop_
_space_group_symop_operation_xyz
'x,y,z'
'-x,-y,z+1/2'
'-x,y,z'
'x,-y,z+1/2'
loop_
_atom_site_label
_atom_site_type_symbol
_atom_site_fract_x
_atom_site_fract_y
_atom_site_fract_z
Sm1 Sm 0.0000 0.1832 0.0000
Ta1 Ta 0.5000 0.3044 0.5095
N1 N 0.5000 0.3988 0.8743
O1 O 0.0000 0.2181 0.4956


# 5
# PBE SmTmNO, optimized geometry
# E above lowest polymorph, meV/atom: 90
# Energy, eV for the cell shown: -124.0
data_SmTmNO
_chemical_formula_sum 'Sm4 Tm4 N4 O4'
_space_group_name_H-M_alt 'P c a 21'
_space_group_IT_number 29
_cell_length_a 6.6055
_cell_length_b 8.1145
_cell_length_c 5.0127
_cell_angle_alpha 90.00
_cell_angle_beta 90.00
_cell_angle_gamma 90.00
loop_
_space_group_symop_operation_xyz
'x,y,z'
'-x,-y,z+1/2'
'-x+1/2,y,z+1/2'
'x+1/2,-y,z'
loop_
_atom_site_label
_atom_site_type_symbol
_atom_site_fract_x
_atom_site_fract_y
_atom_site_fract_z
Sm1 Sm 0.0795 0.1300 0.0000
Tm1 Tm 0.0729 0.6193 0.9997
N1 N 0.0610 0.1343 0.4994
O1 O 0.0981 0.6178 0.5014


# 6
# PBE SmTmNO, optimized geometry
# E above lowest polymorph, meV/atom: 0
# Energy, eV for the cell shown: -62.7
data_SmTmNO
_chemical_formula_sum 'Sm2 Tm2 N2 O2'
_space_group_name_H-M_alt 'P 4/n m m'
_space_group_IT_number 129
_cell_length_a 4.8976
_cell_length_b 4.8976
_cell_length_c 4.8226
_cell_angle_alpha 90.00
_cell_angle_beta 90.00
_cell_angle_gamma 90.00
loop_
_space_group_symop_operation_xyz
'x,y,z'
'-x,-y,-z'
'-y+1/2,x,z'
'y+1/2,-x,-z'
'-x+1/2,-y+1/2,z'
'x+1/2,y+1/2,-z'
'y,-x+1/2,z'
'-y,x+1/2,-z'
'x+1/2,-y,-z'
'-x+1/2,y,z'
'-y,-x,-z'
'y,x,z'
'-x,y+1/2,-z'
'x,-y+1/2,z'
'y+1/2,x+1/2,-z'
'-y+1/2,-x+1/2,z'
loop_
_atom_site_label
_atom_site_type_symbol
_atom_site_fract_x
_atom_site_fract_y
_atom_site_fract_z
Sm1 Sm 0.2500 0.7500 0.0000
Tm1 Tm 0.2500 0.2500 0.5000
N1 N 0.2500 0.2500 0.0007
O1 O 0.2500 0.7500 0.5000


# 7
# PBE SmTmNO, optimized geometry
# E above lowest polymorph, meV/atom: 12
# Energy, eV for the cell shown: -62.6
data_SmTmNO
_chemical_formula_sum 'Sm2 Tm2 N2 O2'
_space_group_name_H-M_alt 'P m m a'
_space_group_IT_number 51
_cell_length_a 4.8803
_cell_length_b 3.9902
_cell_length_c 6.9130
_cell_angle_alpha 90.00
_cell_angle_beta 90.00
_cell_angle_gamma 90.00
loop_
_space_group_symop_operation_xyz
'x,y,z'
'-x,-y,-z'
'-x+1/2,-y,z'
'x+1/2,y,-z'
'x+1/2,-y,-z'
'-x+1/2,y,z'
'-x,y,-z'
'x,-y,z'
loop_
_atom_site_label
_atom_site_type_symbol
_atom_site_fract_x
_atom_site_fract_y
_atom_site_fract_z
Sm1 Sm 0.2500 0.0000 0.1640
Tm1 Tm 0.2500 0.5000 0.6657
N1 N 0.2500 0.5000 0.3449
O1 O 0.2500 0.0000 0.8071


# 8
# PBE SmTmNO, optimized geometry
# E above lowest polymorph, meV/atom: 385
# Energy, eV for the cell shown: -59.6
data_SmTmNO
_chemical_formula_sum 'Sm2 Tm2 N2 O2'
_space_group_name_H-M_alt 'P 4/n m m'
_space_group_IT_number 129
_cell_length_a 4.3600
_cell_length_b 4.3600
_cell_length_c 8.4044
_cell_angle_alpha 90.00
_cell_angle_beta 90.00
_cell_angle_gamma 90.00
loop_
_space_group_symop_operation_xyz
'x,y,z'
'-x,-y,-z'
'-y+1/2,x,z'
'y+1/2,-x,-z'
'-x+1/2,-y+1/2,z'
'x+1/2,y+1/2,-z'
'y,-x+1/2,z'
'-y,x+1/2,-z'
'x+1/2,-y,-z'
'-x+1/2,y,z'
'-y,-x,-z'
'y,x,z'
'-x,y+1/2,-z'
'x,-y+1/2,z'
'y+1/2,x+1/2,-z'
'-y+1/2,-x+1/2,z'
loop_
_atom_site_label
_atom_site_type_symbol
_atom_site_fract_x
_atom_site_fract_y
_atom_site_fract_z
Sm1 Sm 0.2500 0.2500 0.1062
Tm1 Tm 0.2500 0.7500 0.5000
N1 N 0.2500 0.2500 0.5666
O1 O 0.2500 0.7500 0.0000


# 9
# PBE SmTmNO, optimized geometry
# E above lowest polymorph, meV/atom: 59
# Energy, eV for the cell shown: -62.3
data_SmTmNO
_chemical_formula_sum 'Sm2 Tm2 N2 O2'
_space_group_name_H-M_alt 'P m c 21'
_space_group_IT_number 26
_cell_length_a 4.0095
_cell_length_b 6.8868
_cell_length_c 4.9269
_cell_angle_alpha 90.00
_cell_angle_beta 90.00
_cell_angle_gamma 90.00
loop_
_space_group_symop_operation_xyz
'x,y,z'
'-x,-y,z+1/2'
'-x,y,z'
'x,-y,z+1/2'
loop_
_atom_site_label
_atom_site_type_symbol
_atom_site_fract_x
_atom_site_fract_y
_atom_site_fract_z
Sm1 Sm 0.0000 0.1616 0.0000
Tm1 Tm 0.5000 0.3276 0.5005
N1 N 0.0000 0.1821 0.5004
O1 O 0.5000 0.3506 0.9986


# 10
# PBE SmTmNO, optimized geometry
# E above lowest polymorph, meV/atom: 27
# Energy, eV for the cell shown: -125.0
data_SmTmNO
_chemical_formula_sum 'Sm4 Tm4 N4 O4'
_space_group_name_H-M_alt 'P b c m'
_space_group_IT_number 57
_cell_length_a 8.0837
_cell_length_b 6.6665
_cell_length_c 4.9304
_cell_angle_alpha 90.00
_cell_angle_beta 90.00
_cell_angle_gamma 90.00
loop_
_space_group_symop_operation_xyz
'x,y,z'
'-x,-y,-z'
'-x,-y,z+1/2'
'x,y,-z+1/2'
'x,-y+1/2,-z'
'-x,y+1/2,z'
'-x,y+1/2,-z+1/2'
'x,-y+1/2,z+1/2'
loop_
_atom_site_label
_atom_site_type_symbol
_atom_site_fract_x
_atom_site_fract_y
_atom_site_fract_z
Sm1 Sm 0.1252 0.0680 0.2500
Tm1 Tm 0.3777 0.5854 0.2500
N1 N 0.3833 0.5784 0.7500
O1 O 0.1449 0.0877 0.7500


# 11
# PBE SmZrNO, optimized geometry
# E above lowest polymorph, meV/atom: 144
# Energy, eV for the cell shown: -68.4
data_SmZrNO
_chemical_formula_sum 'Sm2 Zr2 N2 O2'
_space_group_name_H-M_alt 'P 4/n m m'
_space_group_IT_number 129
_cell_length_a 4.2144
_cell_length_b 4.2144
_cell_length_c 8.4065
_cell_angle_alpha 90.00
_cell_angle_beta 90.00
_cell_angle_gamma 90.00
loop_
_space_group_symop_operation_xyz
'x,y,z'
'-x,-y,-z'
'-y+1/2,x,z'
'y+1/2,-x,-z'
'-x+1/2,-y+1/2,z'
'x+1/2,y+1/2,-z'
'y,-x+1/2,z'
'-y,x+1/2,-z'
'x+1/2,-y,-z'
'-x+1/2,y,z'
'-y,-x,-z'
'y,x,z'
'-x,y+1/2,-z'
'x,-y+1/2,z'
'y+1/2,x+1/2,-z'
'-y+1/2,-x+1/2,z'
loop_
_atom_site_label
_atom_site_type_symbol
_atom_site_fract_x
_atom_site_fract_y
_atom_site_fract_z
Sm1 Sm 0.2500 0.2500 0.1202
Zr1 Zr 0.2500 0.7500 0.5000
N1 N 0.2500 0.2500 0.5608
O1 O 0.2500 0.7500 0.0000


# 12
# PBE SmZrNO, optimized geometry
# E above lowest polymorph, meV/atom: 46
# Energy, eV for the cell shown: -69.2
data_SmZrNO
_chemical_formula_sum 'Sm2 Zr2 N2 O2'
_space_group_name_H-M_alt 'P m m a'
_space_group_IT_number 51
_cell_length_a 4.7725
_cell_length_b 3.9207
_cell_length_c 6.7967
_cell_angle_alpha 90.00
_cell_angle_beta 90.00
_cell_angle_gamma 90.00
loop_
_space_group_symop_operation_xyz
'x,y,z'
'-x,-y,-z'
'-x+1/2,-y,z'
'x+1/2,y,-z'
'x+1/2,-y,-z'
'-x+1/2,y,z'
'-x,y,-z'
'x,-y,z'
loop_
_atom_site_label
_atom_site_type_symbol
_atom_site_fract_x
_atom_site_fract_y
_atom_site_fract_z
Sm1 Sm 0.2500 0.0000 0.1588
Zr1 Zr 0.2500 0.5000 0.6641
N1 N 0.2500 0.5000 0.3568
O1 O 0.2500 0.0000 0.7965


# 13
# PBE SmZrNO, optimized geometry
# E above lowest polymorph, meV/atom: 0
# Energy, eV for the cell shown: -139.1
data_SmZrNO
_chemical_formula_sum 'Sm4 Zr4 N4 O4'
_space_group_name_H-M_alt 'P b c m'
_space_group_IT_number 57
_cell_length_a 7.9706
_cell_length_b 6.6769
_cell_length_c 4.7575
_cell_angle_alpha 90.00
_cell_angle_beta 90.00
_cell_angle_gamma 90.00
loop_
_space_group_symop_operation_xyz
'x,y,z'
'-x,-y,-z'
'-x,-y,z+1/2'
'x,y,-z+1/2'
'x,-y+1/2,-z'
'-x,y+1/2,z'
'-x,y+1/2,-z+1/2'
'x,-y+1/2,z+1/2'
loop_
_atom_site_label
_atom_site_type_symbol
_atom_site_fract_x
_atom_site_fract_y
_atom_site_fract_z
Sm1 Sm 0.1259 0.0540 0.2500
Zr1 Zr 0.3777 0.5932 0.2500
N1 N 0.3984 0.5832 0.7500
O1 O 0.1543 0.0948 0.7500


# 14
# PBE SmZrNO, optimized geometry
# E above lowest polymorph, meV/atom: 110
# Energy, eV for the cell shown: -68.7
data_SmZrNO
_chemical_formula_sum 'Sm2 Zr2 N2 O2'
_space_group_name_H-M_alt 'P m c 21'
_space_group_IT_number 26
_cell_length_a 4.1810
_cell_length_b 6.2295
_cell_length_c 4.8857
_cell_angle_alpha 90.00
_cell_angle_beta 90.00
_cell_angle_gamma 90.00
loop_
_space_group_symop_operation_xyz
'x,y,z'
'-x,-y,z+1/2'
'-x,y,z'
'x,-y,z+1/2'
loop_
_atom_site_label
_atom_site_type_symbol
_atom_site_fract_x
_atom_site_fract_y
_atom_site_fract_z
Sm1 Sm 0.0000 0.1800 0.0000
Zr1 Zr 0.5000 0.2911 0.5014
N1 N 0.0000 0.2185 0.5002
O1 O 0.5000 0.3652 0.9942


# 15
# PBE SmZrNO, optimized geometry
# E above lowest polymorph, meV/atom: 175
# Energy, eV for the cell shown: -136.3
data_SmZrNO
_chemical_formula_sum 'Sm4 Zr4 N4 O4'
_space_group_name_H-M_alt 'P b c m'
_space_group_IT_number 57
_cell_length_a 8.0662
_cell_length_b 6.4817
_cell_length_c 4.9201
_cell_angle_alpha 90.00
_cell_angle_beta 90.00
_cell_angle_gamma 90.00
loop_
_space_group_symop_operation_xyz
'x,y,z'
'-x,-y,-z'
'-x,-y,z+1/2'
'x,y,-z+1/2'
'x,-y+1/2,-z'
'-x,y+1/2,z'
'-x,y+1/2,-z+1/2'
'x,-y+1/2,z+1/2'
loop_
_atom_site_label
_atom_site_type_symbol
_atom_site_fract_x
_atom_site_fract_y
_atom_site_fract_z
Sm1 Sm 0.1371 0.0778 0.2500
Zr1 Zr 0.3904 0.5609 0.2500
N1 N 0.1407 0.0493 0.7500
O1 O 0.3752 0.6108 0.7500


# 16
# PBE SmZrNO, optimized geometry
# E above lowest polymorph, meV/atom: 269
# Energy, eV for the cell shown: -67.4
data_SmZrNO
_chemical_formula_sum 'Sm2 Zr2 N2 O2'
_space_group_name_H-M_alt 'P 4/n m m'
_space_group_IT_number 129
_cell_length_a 4.5756
_cell_length_b 4.5756
_cell_length_c 5.9385
_cell_angle_alpha 90.00
_cell_angle_beta 90.00
_cell_angle_gamma 90.00
loop_
_space_group_symop_operation_xyz
'x,y,z'
'-x,-y,-z'
'-y+1/2,x,z'
'y+1/2,-x,-z'
'-x+1/2,-y+1/2,z'
'x+1/2,y+1/2,-z'
'y,-x+1/2,z'
'-y,x+1/2,-z'
'x+1/2,-y,-z'
'-x+1/2,y,z'
'-y,-x,-z'
'y,x,z'
'-x,y+1/2,-z'
'x,-y+1/2,z'
'y+1/2,x+1/2,-z'
'-y+1/2,-x+1/2,z'
loop_
_atom_site_label
_atom_site_type_symbol
_atom_site_fract_x
_atom_site_fract_y
_atom_site_fract_z
Sm1 Sm 0.2500 0.7500 0.0000
Zr1 Zr 0.2500 0.2500 0.4629
N1 N 0.2500 0.2500 0.1258
O1 O 0.2500 0.7500 0.5000


# 17
# PBE TaSnNO, optimized geometry
# E above lowest polymorph, meV/atom: 366
# Energy, eV for the cell shown: -63.9
data_TaSnNO
_chemical_formula_sum 'Ta2 Sn2 N2 O2'
_space_group_name_H-M_alt 'P 4/n m m'
_space_group_IT_number 129
_cell_length_a 3.9951
_cell_length_b 3.9951
_cell_length_c 7.9388
_cell_angle_alpha 90.00
_cell_angle_beta 90.00
_cell_angle_gamma 90.00
loop_
_space_group_symop_operation_xyz
'x,y,z'
'-x,-y,-z'
'-y+1/2,x,z'
'y+1/2,-x,-z'
'-x+1/2,-y+1/2,z'
'x+1/2,y+1/2,-z'
'y,-x+1/2,z'
'-y,x+1/2,-z'
'x+1/2,-y,-z'
'-x+1/2,y,z'
'-y,-x,-z'
'y,x,z'
'-x,y+1/2,-z'
'x,-y+1/2,z'
'y+1/2,x+1/2,-z'
'-y+1/2,-x+1/2,z'
loop_
_atom_site_label
_atom_site_type_symbol
_atom_site_fract_x
_atom_site_fract_y
_atom_site_fract_z
Ta1 Ta 0.2500 0.7500 0.0000
Sn1 Sn 0.2500 0.2500 0.3599
N1 N 0.2500 0.2500 0.9251
O1 O 0.2500 0.7500 0.5000


# 18
# PBE TaSnNO, optimized geometry
# E above lowest polymorph, meV/atom: 16
# Energy, eV for the cell shown: -66.7
data_TaSnNO
_chemical_formula_sum 'Ta2 Sn2 N2 O2'
_space_group_name_H-M_alt 'P m c 21'
_space_group_IT_number 26
_cell_length_a 3.3404
_cell_length_b 8.0431
_cell_length_c 5.9859
_cell_angle_alpha 90.00
_cell_angle_beta 90.00
_cell_angle_gamma 90.00
loop_
_space_group_symop_operation_xyz
'x,y,z'
'-x,-y,z+1/2'
'-x,y,z'
'x,-y,z+1/2'
loop_
_atom_site_label
_atom_site_type_symbol
_atom_site_fract_x
_atom_site_fract_y
_atom_site_fract_z
Ta1 Ta 0.0000 0.1416 0.0000
Sn1 Sn 0.5000 0.4617 0.4532
N1 N 0.5000 0.2563 0.9482
O1 O 0.0000 0.0328 0.2854


# 19
# PBE TaSnNO, optimized geometry
# E above lowest polymorph, meV/atom: 0
# Energy, eV for the cell shown: -133.7
data_TaSnNO
_chemical_formula_sum 'Ta4 Sn4 N4 O4'
_space_group_name_H-M_alt 'P c a 21'
_space_group_IT_number 29
_cell_length_a 6.3452
_cell_length_b 8.6779
_cell_length_c 5.7585
_cell_angle_alpha 90.00
_cell_angle_beta 90.00
_cell_angle_gamma 90.00
loop_
_space_group_symop_operation_xyz
'x,y,z'
'-x,-y,z+1/2'
'-x+1/2,y,z+1/2'
'x+1/2,-y,z'
loop_
_atom_site_label
_atom_site_type_symbol
_atom_site_fract_x
_atom_site_fract_y
_atom_site_fract_z
Ta1 Ta 0.1094 0.0755 0.0000
Sn1 Sn 0.1270 0.5223 0.0510
N1 N 0.1145 0.0471 0.6560
O1 O 0.0447 0.2769 0.0470


# 20
# PBE TaSnNO, optimized geometry
# E above lowest polymorph, meV/atom: 386
# Energy, eV for the cell shown: -63.7
data_TaSnNO
_chemical_formula_sum 'Ta2 Sn2 N2 O2'
_space_group_name_H-M_alt 'P 4/n m m'
_space_group_IT_number 129
_cell_length_a 4.1701
_cell_length_b 4.1701
_cell_length_c 8.4492
_cell_angle_alpha 90.00
_cell_angle_beta 90.00
_cell_angle_gamma 90.00
loop_
_space_group_symop_operation_xyz
'x,y,z'
'-x,-y,-z'
'-y+1/2,x,z'
'y+1/2,-x,-z'
'-x+1/2,-y+1/2,z'
'x+1/2,y+1/2,-z'
'y,-x+1/2,z'
'-y,x+1/2,-z'
'x+1/2,-y,-z'
'-x+1/2,y,z'
'-y,-x,-z'
'y,x,z'
'-x,y+1/2,-z'
'x,-y+1/2,z'
'y+1/2,x+1/2,-z'
'-y+1/2,-x+1/2,z'
loop_
_atom_site_label
_atom_site_type_symbol
_atom_site_fract_x
_atom_site_fract_y
_atom_site_fract_z
Ta1 Ta 0.2500 0.2500 0.0540
Sn1 Sn 0.2500 0.7500 0.5000
N1 N 0.2500 0.2500 0.2634
O1 O 0.2500 0.7500 0.0000